(1)
Below is crystalline ZrTlHg2 at its relaxed geometry, with properties calculated at the PBE level.

Cell lengths 5.750, 3.332, 10.538 Å; angles 90.00, 102.59, 90.00 degrees
Fractional positions:
Zr (0.000, 0.000, 0.000)
Zr (0.500, 0.500, 0.000)
Tl (0.165, 0.000, 0.499)
Tl (0.665, 0.500, 0.499)
Hg (0.073, 0.500, 0.766)
Hg (0.430, 0.000, 0.233)
Hg (0.573, 0.000, 0.766)
Hg (0.930, 0.500, 0.233)

Results
The calculation puts the calculated formation energy at 0.026 eV/atom.

---

(2)
Below is crystalline AlHIr3 at its relaxed geometry, with properties calculated at the PBE level.

Cell lengths 4.472, 4.472, 4.472 Å; angles 90.00, 90.00, 90.00 degrees
Fractional positions:
Al (0.000, 0.000, 0.000)
H (0.500, 0.500, 0.500)
Ir (0.000, 0.000, 0.500)
Ir (0.000, 0.500, 0.000)
Ir (0.500, 0.000, 0.000)

Results
The energy above the most stable polymorph in this dataset comes out at 2039 meV per atom.

---

(3)
Below is crystalline CaTa2Ni at its relaxed geometry, with properties calculated at the PBE level.

Cell lengths 2.921, 4.834, 10.705 Å; angles 90.00, 90.00, 90.00 degrees
Fractional positions:
Ca (0.000, 0.000, 0.000)
Ca (0.500, 0.500, 0.500)
Ta (0.000, 0.500, 0.210)
Ta (0.000, 0.500, 0.790)
Ta (0.500, 0.000, 0.290)
Ta (0.500, 0.000, 0.710)
Ni (0.000, 0.000, 0.500)
Ni (0.500, 0.500, 0.000)

Results
The calculation puts the calculated formation energy at 0.233 eV/atom. The energy above the most stable polymorph in this dataset comes out at 27 meV per atom.

---

(4)
Below is crystalline LaLu2Zr at its relaxed geometry, with properties calculated at the PBE level.

Cell lengths 7.750, 7.750, 7.750 Å; angles 90.00, 90.00, 90.00 degrees
Fractional positions:
La (0.000, 0.000, 0.000)
La (0.000, 0.500, 0.500)
La (0.500, 0.000, 0.500)
La (0.500, 0.500, 0.000)
Lu (0.250, 0.250, 0.250)
Lu (0.250, 0.250, 0.750)
Lu (0.250, 0.750, 0.250)
Lu (0.250, 0.750, 0.750)
Lu (0.750, 0.250, 0.250)
Lu (0.750, 0.250, 0.750)
Lu (0.750, 0.750, 0.250)
Lu (0.750, 0.750, 0.750)
Zr (0.000, 0.000, 0.500)
Zr (0.000, 0.500, 0.000)
Zr (0.500, 0.000, 0.000)
Zr (0.500, 0.500, 0.500)

Results
The calculation puts the calculated formation energy at 0.172 eV/atom. The energy above the most stable polymorph in this dataset comes out at 70 meV per atom.

---

Number 1: mass density 11.7 Mg/m³, D(E_F) 5.04 states/eV/cell. Number 2: mass density 11.2 Mg/m³, D(E_F) 6.06 states/eV/cell. Number 3: mass density 10.1 Mg/m³, D(E_F) 8.84 states/eV/cell. Number 4: mass density 8.3 Mg/m³, D(E_F) 27.09 states/eV/cell.